First-principles (PBE-GGA) data for a geometry-optimized LiZnPO structure, as listed in OQMD.

Cell: 3.709 3.709 8.810 Å, 90.00 90.00 90.00°
Space group P4/nmm (No. 129, origin choice 2)
Inequivalent atoms, fractional coordinates:
Li 0.250 0.750 0.000 (multiplicity 2)
Zn 0.250 0.250 0.414 (multiplicity 2)
P 0.250 0.250 0.803 (multiplicity 2)
O 0.250 0.750 0.500 (multiplicity 2)

Raw total energy = -3.542 eV per atom
Theoretical density = 3.27 g/cm³